# KAl2Si

Crystalline KAl2Si at its relaxed geometry (PBE, the Alexandria database).

a b c (Å): 5.683 2.778 5.998
angles (deg): 90.00 116.20 90.00
Fractional coordinates of all 4 atoms:
K  0.000  0.000  0.000
Al  0.000  0.500  0.500
Al  0.500  0.000  0.500
Si  0.500  0.500  0.000

Results
VASP energy ... -2.9860 eV/atom

---

# KAlSi

Crystalline KAlSi at its relaxed geometry (PBE, the Alexandria database).

a b c (Å): 3.393 3.946 6.071
angles (deg): 90.00 90.00 90.00
Fractional coordinates of all 3 atoms:
K  0.000  0.000  0.000
Al  0.000  0.500  0.500
Si  0.500  0.000  0.500

Results
VASP energy ... -3.1821 eV/atom

---

# KAlSi3

Crystalline KAlSi3 at its relaxed geometry (PBE, the Alexandria database).

a b c (Å): 4.919 4.919 4.919
angles (deg): 90.00 90.00 90.00
Fractional coordinates of all 5 atoms:
K  0.000  0.000  0.000
Al  0.500  0.500  0.500
Si  0.000  0.500  0.500
Si  0.500  0.000  0.500
Si  0.500  0.500  0.000

Results
VASP energy ... -3.5484 eV/atom

---

# KAlSi

Crystalline KAlSi at its relaxed geometry (PBE, the Alexandria database).

a b c (Å): 6.841 6.081 4.047
angles (deg): 90.00 90.00 90.00
Fractional coordinates of all 6 atoms:
K  0.250  0.000  0.230
K  0.750  0.000  0.770
Al  0.000  0.500  0.000
Al  0.500  0.500  0.000
Si  0.250  0.500  0.566
Si  0.750  0.500  0.434

Results
VASP energy ... -3.1842 eV/atom